DFT (PBE) results for KNbIr3 after structural relaxation.

Cell: 4.889 4.889 4.889 Å, 90.00 90.00 90.00°
Fractional positions:
Nb 0.000 0.000 0.000
Ir 0.000 0.500 0.000
Ir 0.000 0.000 0.500
Ir 0.500 0.000 0.000
K 0.500 0.500 0.500

Computed properties:
Its density of states at the Fermi level is 4.548 states/eV/f.u. Its mass density is 10.1 g/cm³. The calculation puts the offset from the most stable computed form at 0.0000 eV/atom. For the magnetic moment, the calculation gives 0.00 μB per cell. The formation energy from the elements comes out at 1174 meV per atom.


DFT (PBE) results for K2NbIr after structural relaxation.

Cell: 12.325 12.325 9.034 Å, 46.99 46.99 90.00°
Last column: magnetic moment on the atom in μB.
Fractional positions:
Nb 0.500 0.500 0.000  1.46
Nb 0.250 0.750 0.500  1.46
Ir 0.000 0.000 0.000  -0.12
Ir 0.750 0.250 0.500  -0.12
K 0.786 0.125 0.250  0.02
K 0.964 0.625 0.250  0.02
K 0.375 0.214 0.750  0.02
K 0.875 0.036 0.750  0.02

Computed properties:
Its density of states at the Fermi level is 6.549 states/eV/f.u. Its mass density is 3.3 g/cm³. The calculation puts the offset from the most stable computed form at 0.0000 eV/atom. For the magnetic moment, the calculation gives 4.70 μB per cell. The formation energy from the elements comes out at 1061 meV per atom.


DFT (PBE) results for KNbIr3 after structural relaxation.

Cell: 4.603 4.603 4.603 Å, 90.00 90.00 90.00°
Fractional positions:
Nb 0.500 0.500 0.500
Ir 0.000 0.500 0.000
Ir 0.000 0.000 0.500
Ir 0.500 0.000 0.000
K 0.000 0.000 0.000

Computed properties:
Its density of states at the Fermi level is 8.002 states/eV/f.u. Its mass density is 12.1 g/cm³. The calculation puts the offset from the most stable computed form at 1.7006 eV/atom. For the magnetic moment, the calculation gives 0.00 μB per cell. The formation energy from the elements comes out at 2875 meV per atom.


DFT (PBE) results for KNbIr2O8 after structural relaxation.

Cell: 5.548 5.548 7.813 Å, 90.00 90.00 120.00°
Fractional positions:
K 0.000 0.000 0.000
Nb 0.000 0.000 0.500
Ir 0.667 0.333 0.241
Ir 0.333 0.667 0.759
O 0.333 0.667 0.985
O 0.323 0.235 0.345
O 0.765 0.088 0.345
O 0.667 0.333 0.015
O 0.235 0.912 0.655
O 0.677 0.765 0.655
O 0.088 0.323 0.655
O 0.912 0.677 0.345

Computed properties:
Its density of states at the Fermi level is 3.800 states/eV/f.u. The value obtained for the raw formation energy is -1039 meV/atom. Its mass density is 5.1 g/cm³. For the magnetic moment, the calculation gives 0.00 μB per cell.


DFT (PBE) results for K2Nb3IrO12 after structural relaxation.

Cell: 7.428 7.428 7.428 Å, 60.46 60.46 60.46°
Last column: magnetic moment on the atom in μB.
Fractional positions:
K 0.610 0.610 0.610  0.00
K 0.390 0.390 0.390  0.00
Nb 0.500 0.000 0.000  0.00
Nb 0.000 0.500 0.000  0.00
Nb 0.000 0.000 0.500  0.00
Ir 0.000 0.000 0.000  0.94
O 0.315 0.315 0.936  0.02
O 0.939 0.939 0.302  0.12
O 0.302 0.939 0.939  0.12
O 0.936 0.315 0.315  0.02
O 0.939 0.302 0.939  0.12
O 0.315 0.936 0.315  0.02
O 0.685 0.685 0.064  0.02
O 0.061 0.061 0.698  0.12
O 0.698 0.061 0.061  0.12
O 0.064 0.685 0.685  0.02
O 0.061 0.698 0.061  0.12
O 0.685 0.064 0.685  0.02

Computed properties:
Its density of states at the Fermi level is 7.974 states/eV/f.u. The value obtained for the raw formation energy is -1936 meV/atom. Its mass density is 4.2 g/cm³. For the magnetic moment, the calculation gives 2.03 μB per cell.


DFT (PBE) results for K2NbIr3O12 after structural relaxation.

Cell: 7.355 7.355 7.355 Å, 58.66 58.66 58.66°
Last column: magnetic moment on the atom in μB.
Fractional positions:
K 0.623 0.623 0.623  0.00
K 0.377 0.377 0.377  0.00
Nb 0.000 0.000 0.000  -0.01
Ir 0.500 0.000 0.000  0.46
Ir 0.000 0.500 0.000  0.46
Ir 0.000 0.000 0.500  0.46
O 0.317 0.317 0.922  0.06
O 0.930 0.930 0.327  0.12
O 0.327 0.930 0.930  0.12
O 0.922 0.317 0.317  0.06
O 0.930 0.327 0.930  0.12
O 0.317 0.922 0.317  0.06
O 0.683 0.683 0.078  0.06
O 0.070 0.070 0.673  0.12
O 0.673 0.070 0.070  0.12
O 0.078 0.683 0.683  0.06
O 0.070 0.673 0.070  0.12
O 0.683 0.078 0.683  0.06

Computed properties:
Its density of states at the Fermi level is 15.701 states/eV/f.u. The value obtained for the raw formation energy is -1216 meV/atom. Its mass density is 5.7 g/cm³. For the magnetic moment, the calculation gives 2.79 μB per cell.


DFT (PBE) results for KNbSb2Ir after structural relaxation.

Cell: 5.374 5.374 4.597 Å, 90.00 90.00 90.00°
Last column: magnetic moment on the atom in μB.
Fractional positions:
Sb 0.000 0.500 0.000  -0.01
Sb 0.500 0.000 0.000  -0.01
Nb 0.000 0.000 0.500  0.28
Ir 0.500 0.500 0.500  -0.02
K 0.000 0.000 0.000  0.00

Computed properties:
Its density of states at the Fermi level is 5.574 states/eV/f.u. The value obtained for the raw formation energy is 2510 meV/atom. Its mass density is 7.1 g/cm³. For the magnetic moment, the calculation gives 0.28 μB per cell.


DFT (PBE) results for KZrNbIr2 after structural relaxation.

Cell: 5.015 5.037 5.015 Å, 90.00 90.00 90.00°
Fractional positions:
Nb 0.000 0.500 0.000
Ir 0.000 0.000 0.500
Ir 0.500 0.000 0.000
K 0.500 0.500 0.500
Zr 0.000 0.000 0.000

Computed properties:
Its density of states at the Fermi level is 4.932 states/eV/f.u. Its mass density is 8.0 g/cm³. For the magnetic moment, the calculation gives 0.00 μB per cell. The formation energy from the elements comes out at 1351 meV per atom.


DFT (PBE) results for K2Nd2IrO6 after structural relaxation.

Cell: 5.964 5.964 6.611 Å, 97.29 97.29 119.48°
Last column: magnetic moment on the atom in μB.
Fractional positions:
K 0.846 0.154 0.000  0.00
K 0.154 0.846 0.000  0.00
Nd 0.336 0.664 0.500  0.00
Nd 0.664 0.336 0.500  0.00
Ir 0.000 0.000 0.500  0.65
O 0.758 0.758 0.680  0.05
O 0.043 0.346 0.673  0.05
O 0.242 0.242 0.320  0.05
O 0.346 0.043 0.673  0.05
O 0.957 0.654 0.327  0.05
O 0.654 0.957 0.327  0.05

Computed properties:
Its density of states at the Fermi level is 8.316 states/eV/f.u. The value obtained for the raw formation energy is -2016 meV/atom. Its mass density is 5.5 g/cm³. For the magnetic moment, the calculation gives 1.05 μB per cell.


DFT (PBE) results for K3Nd3IrO8 after structural relaxation.

Cell: 7.032 7.033 7.490 Å, 118.00 90.00 120.00°
Last column: magnetic moment on the atom in μB.
Fractional positions:
K 0.000 0.000 0.000  0.00
K 0.000 0.500 0.000  0.00
K 0.500 0.500 0.000  0.00
Nd 0.500 0.000 0.500  0.00
Nd 0.500 0.500 0.500  0.00
Nd 0.000 0.500 0.500  0.00
Ir 0.000 0.000 0.500  0.65
O 0.269 0.539 0.308  0.00
O 0.731 0.461 0.692  0.00
O 0.793 0.586 0.325  0.06
O 0.207 0.414 0.675  0.06
O 0.793 0.032 0.324  0.05
O 0.207 0.968 0.676  0.05
O 0.239 0.032 0.325  0.06
O 0.761 0.968 0.675  0.06

Computed properties:
Its density of states at the Fermi level is 7.197 states/eV/f.u. The value obtained for the raw formation energy is -2183 meV/atom. Its mass density is 5.4 g/cm³. For the magnetic moment, the calculation gives 1.06 μB per cell.


DFT (PBE) results for KNdIr2O8 after structural relaxation.

Cell: 6.032 6.032 7.799 Å, 90.00 90.00 120.00°
Last column: magnetic moment on the atom in μB.
Fractional positions:
K 0.000 0.000 0.000  0.00
Nd 0.000 0.000 0.500  -0.01
Ir 0.667 0.333 0.215  0.45
Ir 0.333 0.667 0.785  0.45
O 0.333 0.667 0.013  0.11
O 0.342 0.175 0.307  0.12
O 0.825 0.168 0.307  0.12
O 0.667 0.333 0.987  0.11
O 0.175 0.832 0.693  0.12
O 0.658 0.825 0.693  0.12
O 0.168 0.342 0.693  0.12
O 0.832 0.658 0.307  0.12

Computed properties:
Its density of states at the Fermi level is 8.014 states/eV/f.u. The value obtained for the raw formation energy is -1135 meV/atom. Its mass density is 4.7 g/cm³. For the magnetic moment, the calculation gives 2.09 μB per cell.


DFT (PBE) results for KNd2IrO6 after structural relaxation.

Cell: 5.646 6.203 9.019 Å, 90.00 89.96 90.00°
Last column: magnetic moment on the atom in μB.
Fractional positions:
K 0.500 0.000 0.000  0.00
K 0.000 0.500 0.500  0.00
Nd 0.001 0.999 0.285  0.02
Nd 0.501 0.501 0.785  0.02
Nd 0.999 0.001 0.715  0.02
Nd 0.499 0.499 0.215  0.02
Ir 0.500 0.000 0.500  1.17
Ir 0.000 0.500 0.000  1.17
O 0.303 0.649 0.001  0.17
O 0.803 0.851 0.501  0.17
O 0.697 0.351 0.999  0.17
O 0.197 0.149 0.499  0.17
O 0.358 0.801 0.344  0.07
O 0.858 0.699 0.844  0.07
O 0.642 0.199 0.656  0.07
O 0.142 0.301 0.156  0.07
O 0.859 0.693 0.160  0.07
O 0.359 0.807 0.660  0.07
O 0.141 0.307 0.840  0.07
O 0.641 0.193 0.340  0.07

Computed properties:
Its density of states at the Fermi level is 4.768 states/eV/f.u. The value obtained for the raw formation energy is -2141 meV/atom. Its mass density is 6.5 g/cm³. For the magnetic moment, the calculation gives 4.01 μB per cell.


> Which of these has the highest mass density?

number 3


> What is the mass density in the eleventh record?

4.7 g/cm³